(1)
Computed, not measured: a relaxed structure of SmEr4Sc at the PBE-GGA level of DFT.

## Properties
Relative energy among the computed polymorphs (meV/atom): 154.9
N(E_F) (states/eV/f.u.): 11.94
Space-group type: No. 12

Lattice parameters (Å, degrees): 5.843 5.843 11.180 117.33 117.33 33.99
Atoms (fractional coordinates):
Sm: 0.000 0.000 0.000
Er: 0.156 0.156 0.350
Er: 0.346 0.346 0.163
Er: 0.654 0.654 0.837
Er: 0.844 0.844 0.650
Sc: 0.500 0.500 0.500

(2)
Computed, not measured: a relaxed structure of Na3Cd2In at the PBE-GGA level of DFT.

## Properties
Relative energy among the computed polymorphs (meV/atom): 0.0
N(E_F) (states/eV/f.u.): 2.91
Space-group type: No. 15

Lattice parameters (Å, degrees): 8.055 8.055 6.178 110.08 110.08 104.18
Atoms (fractional coordinates):
Na: 0.182 0.818 0.750
Na: 0.255 0.399 0.738
Na: 0.399 0.255 0.238
Na: 0.601 0.745 0.762
Na: 0.745 0.601 0.262
Na: 0.818 0.182 0.250
Cd: 0.159 0.520 0.235
Cd: 0.480 0.841 0.265
Cd: 0.520 0.159 0.735
Cd: 0.841 0.480 0.765
In: 0.082 0.918 0.250
In: 0.918 0.082 0.750

(3)
Computed, not measured: a relaxed structure of Y3Er2Se8 at the PBE-GGA level of DFT.

## Properties
N(E_F) (states/eV/f.u.): 6.73
Electronic total energy (eV/atom): -6.04
Space-group type: No. 12

Lattice parameters (Å, degrees): 8.207 8.207 6.971 106.80 106.80 59.73
Atoms (fractional coordinates):
Y: 0.000 0.000 0.000
Y: 0.261 0.739 0.500
Y: 0.739 0.261 0.500
Er: 0.257 0.257 0.838
Er: 0.743 0.743 0.162
Se: 0.116 0.635 0.085
Se: 0.120 0.120 0.425
Se: 0.365 0.884 0.915
Se: 0.381 0.381 0.598
Se: 0.619 0.619 0.402
Se: 0.635 0.116 0.085
Se: 0.880 0.880 0.575
Se: 0.884 0.365 0.915

(4)
Computed, not measured: a relaxed structure of TmSnP2Rh5 at the PBE-GGA level of DFT.

## Properties
N(E_F) (states/eV/f.u.): 6.93
Electronic total energy (eV/atom): -6.74
Space-group type: No. 123

Lattice parameters (Å, degrees): 3.919 3.919 11.167 90.00 90.00 90.00
Atoms (fractional coordinates):
Tm: 0.000 0.000 0.000
Sn: 0.000 0.000 0.500
P: 0.500 0.500 0.292
P: 0.500 0.500 0.708
Rh: 0.000 0.500 0.189
Rh: 0.000 0.500 0.811
Rh: 0.500 0.000 0.189
Rh: 0.500 0.000 0.811
Rh: 0.500 0.500 0.500